DFT (PBE) results for a relaxed Ta2InTc crystal.

Cell lengths 3.2727, 4.8469, 9.1605 Å; angles 90.00, 90.00, 90.00 degrees
Space group Cmm2 (No. 35)
One atom of each set of equivalent atoms:
Ta  0.0000  0.0000  0.0000
Ta  0.0000  0.5000  0.2506
In  0.0000  0.0000  0.5231
Tc  0.0000  0.5000  0.7766

Output
ΔH_f (0 K) in kJ per mole of atoms: 7.1

---

DFT (PBE) results for a relaxed TcPRu3 crystal.

Cell lengths 4.3188, 4.3188, 4.3188 Å; angles 90.00, 90.00, 90.00 degrees
Space group Pm-3m (No. 221)
One atom of each set of equivalent atoms:
Tc  0.0000  0.0000  0.0000
P  0.5000  0.5000  0.5000
Ru  0.0000  0.5000  0.5000

Output
ΔH_f (0 K) in kJ per mole of atoms: 64.2

---

DFT (PBE) results for a relaxed PrZnH crystal.

Cell lengths 3.5550, 3.5550, 9.6303 Å; angles 90.00, 90.00, 90.00 degrees
Space group I4mm (No. 107)
One atom of each set of equivalent atoms:
Pr  0.0000  0.0000  0.0000
Zn  0.0000  0.0000  0.6905
H  0.0000  0.0000  0.4935

---

DFT (PBE) results for a relaxed Ca2NiIr2 crystal.

Cell lengths 6.5112, 6.5112, 4.5714 Å; angles 90.00, 90.00, 90.00 degrees
Space group P4/mbm (No. 127)
One atom of each set of equivalent atoms:
Ca  0.1775  0.3225  0.0000
Ni  0.0000  0.0000  0.5000
Ir  0.1340  0.6340  0.5000

Output
ΔH_f (0 K) in kJ per mole of atoms: -19.3

---

DFT (PBE) results for a relaxed NiC8N6 crystal.

Cell lengths 6.8849, 5.4341, 12.8227 Å; angles 90.00, 90.00, 90.00 degrees
Space group Pmna (No. 53)
One atom of each set of equivalent atoms:
Ni  0.0000  0.0000  0.0000
C  0.0000  0.3722  0.3627
C  0.0000  0.4427  0.7147
C  0.1717  0.2743  0.4029
N  0.0000  0.2897  0.7791
N  0.1913  0.1886  0.0572

Output
Formation energy without anion corrections in eV per formula unit: 7.37

---

DFT (PBE) results for a relaxed BAu crystal.

Cell lengths 3.1293, 9.8610, 5.5244 Å; angles 90.00, 90.00, 90.00 degrees
Space group Pmmn (No. 59, origin choice 2)
One atom of each set of equivalent atoms:
B  0.2500  0.0220  0.0062
B  0.2500  0.7500  0.3574
Au  0.2500  0.2500  0.9098
Au  0.2500  0.6016  0.6395

Output
ΔH_f (0 K) in kJ per mole of atoms: 51.3

---

DFT (PBE) results for a relaxed AgP2 crystal.

Cell lengths 3.5067, 3.5067, 4.2884 Å; angles 90.00, 90.00, 90.00 degrees
Space group P4/mmm (No. 123)
One atom of each set of equivalent atoms:
Ag  0.0000  0.0000  0.0000
P  0.0000  0.5000  0.5000

Output
ΔH_f (0 K) in kJ per mole of atoms: 37.5

---

DFT (PBE) results for a relaxed ScSe2BrF crystal.

Cell lengths 4.4053, 4.4053, 5.4859 Å; angles 90.00, 90.00, 90.00 degrees
Space group P4/mmm (No. 123)
One atom of each set of equivalent atoms:
Sc  0.0000  0.0000  0.0000
Se  0.0000  0.5000  0.5000
Br  0.5000  0.5000  0.0000
F  0.5000  0.5000  0.5000

Output
Formation energy without anion corrections in eV per formula unit: -1.90

---

no.,VASP energy (eV/atom),calculated density (kg/m3)
1,-9.1287,13136
2,-8.0554,8909
3,-3.1734,5657
4,-5.7016,8967
5,-8.1436,1653
6,-4.4462,12144
7,-4.1683,5347
8,-3.7493,4707